# Ba2Sr6Ag

Crystalline Ba2Sr6Ag at its relaxed geometry (GGA-PBE, the Alexandria database).

Structure (CIF):
```
data_Ba2Sr6Ag
_cell_length_a 8.815
_cell_length_b 8.815
_cell_length_c 12.450
_cell_angle_alpha 90.00
_cell_angle_beta 90.00
_cell_angle_gamma 90.00
_symmetry_space_group_name_H-M 'I 4/m m m'
_symmetry_Int_Tables_number 139
_symmetry_space_group_name_Hall '-I 4 2'
loop_
_atom_site_label
_atom_site_type_symbol
_atom_site_fract_x
_atom_site_fract_y
_atom_site_fract_z
_atom_site_occupancy
Ba1 Ba 0.000 0.500 0.250 1
Sr1 Sr 0.000 0.000 0.246 1
Sr2 Sr 0.247 0.247 0.000 1
Ag1 Ag 0.000 0.000 0.500 1
```

Properties
For the uncorrected energy, the calculation gives -1.92 eV per atom. The calculation puts the density at 3.118 g cm⁻³. As for the energy relative to the elements: -0.057 eV per atom.